SmTh2Ru2: relaxed, PBE.

Lattice parameters (Å, degrees): 6.667 6.667 11.237 115.37 115.37 33.79
Fractional positions:
Sm 0.198 0.198 0.360
Sm 0.802 0.802 0.640
Th 0.336 0.336 0.922
Th 0.442 0.442 0.295
Th 0.558 0.558 0.705
Th 0.664 0.664 0.078
Ru 0.035 0.035 0.893
Ru 0.119 0.119 0.575
Ru 0.881 0.881 0.425
Ru 0.965 0.965 0.107

## Properties
**Raw total energy**: -79.52 eV/cell
**Density of states at the Fermi level**: 8.9 states/eV/cell
**Space group**: No. 12
**Total moment**: 0.00 μB/atom

---

MnCu: relaxed, PBE.

Lattice parameters (Å, degrees): 2.543 2.543 9.210 90.00 90.00 120.00
Fractional positions:
Mn 0.333 0.667 0.000
Mn 0.667 0.333 0.500
Cu 0.333 0.667 0.733
Cu 0.667 0.333 0.233

## Properties
**Raw total energy**: -24.68 eV/cell
**Density of states at the Fermi level**: 4.3 states/eV/cell
**Space group**: No. 186
**Total moment**: 1.50 μB/atom

---

AlB3H: relaxed, PBE.

Lattice parameters (Å, degrees): 3.315 3.315 3.315 90.00 90.00 90.00
Fractional positions:
Al 0.000 0.000 0.000
B 0.000 0.500 0.500
B 0.500 0.000 0.500
B 0.500 0.500 0.000
H 0.500 0.500 0.500

## Properties
**Polymorph energy (0 for the lowest one)**: 0 meV/atom
**Raw total energy**: -20.37 eV/cell
**Density of states at the Fermi level**: 1.5 states/eV/cell
**Space group**: No. 221
**Total moment**: 0.00 μB/atom

---

SrTeIr2: relaxed, PBE.

Lattice parameters (Å, degrees): 4.949 4.949 3.366 90.00 90.00 100.38
Fractional positions:
Sr 0.000 0.000 0.000
Te 0.500 0.500 0.000
Ir 0.000 0.500 0.500
Ir 0.500 0.000 0.500

## Properties
**Raw formation energy**: 0.28 eV per atom
**Raw total energy**: -21.41 eV/cell
**Density of states at the Fermi level**: 1.9 states/eV/cell
**Space group**: No. 65
**Total moment**: 0.00 μB/atom

---

NaNd5Hg3: relaxed, PBE.

Lattice parameters (Å, degrees): 9.455 9.455 6.911 90.00 90.00 60.06
Fractional positions:
Na 0.000 0.000 0.000
Na 0.000 0.000 0.500
Nd 0.000 0.318 0.750
Nd 0.000 0.682 0.250
Nd 0.318 0.000 0.250
Nd 0.318 0.682 0.750
Nd 0.334 0.334 0.000
Nd 0.334 0.334 0.500
Nd 0.666 0.666 0.000
Nd 0.666 0.666 0.500
Nd 0.682 0.000 0.750
Nd 0.682 0.318 0.250
Hg 0.000 0.348 0.250
Hg 0.000 0.652 0.750
Hg 0.348 0.000 0.750
Hg 0.348 0.652 0.250
Hg 0.652 0.000 0.250
Hg 0.652 0.348 0.750

## Properties
**Raw total energy**: -56.51 eV/cell
**Density of states at the Fermi level**: 22.3 states/eV/cell
**Space group**: No. 63
**Total moment**: 0.00 μB/atom

---

CeSm2I6: relaxed, PBE.

Lattice parameters (Å, degrees): 8.511 8.511 8.511 54.09 54.09 54.09
Fractional positions:
Ce 0.000 0.000 0.000
Sm 0.669 0.669 0.669
Sm 0.832 0.832 0.832
I 0.096 0.733 0.424
I 0.253 0.575 0.916
I 0.424 0.096 0.733
I 0.575 0.916 0.253
I 0.733 0.424 0.096
I 0.916 0.253 0.575

## Properties
**Polymorph energy (0 for the lowest one)**: 52 meV/atom
**Raw formation energy**: -1.20 eV per atom
**Raw total energy**: -35.49 eV/cell
**Density of states at the Fermi level**: 9.7 states/eV/cell
**Space group**: No. 146
**Total moment**: 0.22 μB/atom

---

LiTbErTl: relaxed, PBE.

Lattice parameters (Å, degrees): 5.272 5.272 5.272 60.00 60.00 60.00
Fractional positions:
Li 0.000 0.000 0.000
Tb 0.750 0.750 0.750
Er 0.250 0.250 0.250
Tl 0.500 0.500 0.500

## Properties
**Raw total energy**: -14.23 eV/cell
**Density of states at the Fermi level**: 3.0 states/eV/cell
**Space group**: No. 216
**Total moment**: 0.00 μB/atom

---

PrMg2Cu: relaxed, PBE.

Lattice parameters (Å, degrees): 10.653 10.653 10.653 17.68 17.68 17.68
Fractional positions:
Pr 0.000 0.000 0.000
Mg 0.105 0.105 0.105
Mg 0.895 0.895 0.895
Cu 0.500 0.500 0.500

## Properties
**Raw total energy**: -11.07 eV/cell
**Density of states at the Fermi level**: 2.3 states/eV/cell
**Space group**: No. 166
**Total moment**: 0.00 μB/atom

---

MnBeCo: relaxed, PBE.

Lattice parameters (Å, degrees): 4.540 4.540 3.676 90.00 90.00 131.64
Fractional positions:
Mn 0.079 0.921 0.750
Mn 0.921 0.079 0.250
Be 0.251 0.749 0.250
Be 0.749 0.251 0.750
Co 0.405 0.595 0.750
Co 0.595 0.405 0.250

## Properties
**Polymorph energy (0 for the lowest one)**: 0 meV/atom
**Raw total energy**: -40.96 eV/cell
**Density of states at the Fermi level**: 4.3 states/eV/cell
**Space group**: No. 63
**Total moment**: 0.00 μB/atom

---

LiReP2: relaxed, PBE.

Lattice parameters (Å, degrees): 4.180 4.180 4.180 60.00 60.00 60.00
Fractional positions:
Li 0.000 0.000 0.000
Re 0.750 0.750 0.750
P 0.250 0.250 0.250
P 0.500 0.500 0.500

## Properties
**Polymorph energy (0 for the lowest one)**: 782 meV/atom
**Raw total energy**: -23.34 eV/cell
**Density of states at the Fermi level**: 3.2 states/eV/cell
**Space group**: No. 216
**Total moment**: 0.00 μB/atom

---

Ho3ErHg2: relaxed, PBE.

Lattice parameters (Å, degrees): 8.812 8.812 8.812 132.80 71.17 130.04
Fractional positions:
Ho 0.022 0.750 0.272
Ho 0.250 0.250 0.000
Ho 0.478 0.750 0.728
Ho 0.522 0.250 0.272
Ho 0.750 0.750 0.000
Ho 0.978 0.250 0.728
Er 0.000 0.500 0.500
Er 0.500 0.000 0.500
Hg 0.140 0.201 0.340
Hg 0.360 0.701 0.061
Hg 0.640 0.299 0.939
Hg 0.860 0.799 0.660

## Properties
**Polymorph energy (0 for the lowest one)**: 265 meV/atom
**Raw total energy**: -38.98 eV/cell
**Density of states at the Fermi level**: 9.3 states/eV/cell
**Space group**: No. 72
**Total moment**: 0.00 μB/atom

---

NbOsRh3: relaxed, PBE.

Lattice parameters (Å, degrees): 4.641 4.641 4.641 90.00 90.00 90.00
Fractional positions:
Nb 0.000 0.000 0.000
Os 0.500 0.500 0.500
Rh 0.000 0.000 0.500
Rh 0.000 0.500 0.000
Rh 0.500 0.000 0.000

## Properties
**Polymorph energy (0 for the lowest one)**: 185 meV/atom
**Raw total energy**: -35.11 eV/cell
**Density of states at the Fermi level**: 5.4 states/eV/cell
**Space group**: No. 221
**Total moment**: 0.61 μB/atom

---

Which of these has the highest total moment? MnCu

---

Which formula does entry 6 have? CeSm2I6

---

Number 2 is which compound? MnCu